VASP calculation (GGA-PBE) on CsPdRhS2 after structural relaxation.

a b c (Å): 7.657 7.657 6.028
angles (deg): 90.00 90.00 137.20
Fractional positions:
Cs (0.250, 0.750, 0.764)
Cs (0.750, 0.250, 0.236)
Pd (0.000, 0.000, 0.000)
Pd (0.500, 0.500, 0.000)
Rh (0.250, 0.250, 0.500)
Rh (0.750, 0.750, 0.500)
S (0.100, 0.900, 0.299)
S (0.400, 0.600, 0.299)
S (0.600, 0.400, 0.701)
S (0.900, 0.100, 0.701)

Computed properties:
Formation energy (no corrections) in eV per atom: -0.536
Space group: Cmme

VASP calculation (GGA-PBE) on Cs2PdRhS4 after structural relaxation.

a b c (Å): 13.946 12.314 7.698
angles (deg): 85.04 61.60 33.36
Fractional positions:
Cs (0.054, 0.054, 0.696)
Cs (0.304, 0.304, 0.946)
Cs (0.696, 0.696, 0.054)
Cs (0.946, 0.946, 0.304)
Pd (0.125, 0.125, 0.125)
Pd (0.875, 0.875, 0.875)
Rh (0.375, 0.375, 0.375)
Rh (0.625, 0.625, 0.625)
S (0.003, 0.354, 0.427)
S (0.284, 0.573, 0.646)
S (0.354, 0.003, 0.716)
S (0.427, 0.716, 0.003)
S (0.573, 0.284, 0.997)
S (0.646, 0.997, 0.284)
S (0.716, 0.427, 0.354)
S (0.997, 0.646, 0.573)

Computed properties:
Formation energy (no corrections) in eV per atom: -0.586
Space group: Fddd

VASP calculation (GGA-PBE) on Cs2PdRhSe4 after structural relaxation.

a b c (Å): 14.372 12.707 7.923
angles (deg): 84.96 61.73 33.31
Fractional positions:
Cs (0.058, 0.058, 0.692)
Cs (0.308, 0.308, 0.942)
Cs (0.692, 0.692, 0.058)
Cs (0.942, 0.942, 0.308)
Pd (0.375, 0.375, 0.375)
Pd (0.625, 0.625, 0.625)
Rh (0.125, 0.125, 0.125)
Rh (0.875, 0.875, 0.875)
Se (0.036, 0.326, 0.399)
Se (0.261, 0.601, 0.674)
Se (0.326, 0.036, 0.739)
Se (0.399, 0.739, 0.036)
Se (0.601, 0.261, 0.964)
Se (0.674, 0.964, 0.261)
Se (0.739, 0.399, 0.326)
Se (0.964, 0.674, 0.601)

Computed properties:
Formation energy (no corrections) in eV per atom: -0.594
Space group: Fddd

VASP calculation (GGA-PBE) on CsPdRhSe3 after structural relaxation.

a b c (Å): 7.347 7.347 6.928
angles (deg): 90.00 90.00 123.53
Fractional positions:
Cs (0.245, 0.755, 0.750)
Cs (0.755, 0.245, 0.250)
Pd (0.068, 0.932, 0.250)
Pd (0.932, 0.068, 0.750)
Rh (0.445, 0.555, 0.250)
Rh (0.555, 0.445, 0.750)
Se (0.259, 0.259, 0.000)
Se (0.259, 0.259, 0.500)
Se (0.260, 0.740, 0.250)
Se (0.740, 0.260, 0.750)
Se (0.741, 0.741, 0.000)
Se (0.741, 0.741, 0.500)

Computed properties:
Formation energy (no corrections) in eV per atom: -0.467
Space group: Cmcm

VASP calculation (GGA-PBE) on CsPd2Ru after structural relaxation.

a b c (Å): 8.940 8.940 8.940
angles (deg): 143.46 143.46 52.64
Fractional positions:
Cs (0.375, 0.625, 0.750)
Cs (0.625, 0.375, 0.250)
Pd (0.000, 0.000, 0.000)
Pd (0.000, 0.000, 0.500)
Pd (0.000, 0.500, 0.000)
Pd (0.500, 0.000, 0.500)
Ru (0.125, 0.875, 0.250)
Ru (0.875, 0.125, 0.750)

Computed properties:
Energy relative to the elements in meV per atom: 819.8
Space group: I4_1/amd

VASP calculation (GGA-PBE) on Cs2PdRu after structural relaxation.

a b c (Å): 9.271 9.271 9.271
angles (deg): 93.97 93.97 149.50
Fractional positions:
Cs (0.000, 0.000, 0.000)
Cs (0.000, 0.000, 0.500)
Cs (0.000, 0.500, 0.000)
Cs (0.500, 0.000, 0.500)
Pd (0.375, 0.625, 0.750)
Pd (0.625, 0.375, 0.250)
Ru (0.125, 0.875, 0.250)
Ru (0.875, 0.125, 0.750)

Computed properties:
Energy relative to the elements in meV per atom: 882.0
Space group: I4_1/amd

VASP calculation (GGA-PBE) on CsPdRu3 after structural relaxation.

a b c (Å): 4.871 4.871 4.871
angles (deg): 90.00 90.00 90.00
Fractional positions:
Cs (0.000, 0.000, 0.000)
Pd (0.500, 0.500, 0.500)
Ru (0.000, 0.000, 0.500)
Ru (0.000, 0.500, 0.000)
Ru (0.500, 0.000, 0.000)

Computed properties:
Energy relative to the elements in meV per atom: 2872.5
Space group: Pm-3m

VASP calculation (GGA-PBE) on CsPdRu3 after structural relaxation.

a b c (Å): 4.985 4.985 4.985
angles (deg): 90.00 90.00 90.00
Fractional positions:
Cs (0.000, 0.000, 0.000)
Pd (0.500, 0.500, 0.500)
Ru (0.000, 0.500, 0.500)
Ru (0.500, 0.000, 0.500)
Ru (0.500, 0.500, 0.000)

Computed properties:
Energy relative to the elements in meV per atom: 1901.2
Space group: Pm-3m

VASP calculation (GGA-PBE) on Cs4PdRu2 after structural relaxation.

a b c (Å): 9.262 9.262 9.262
angles (deg): 135.25 135.25 65.14
Fractional positions:
Cs (0.000, 0.500, 0.500)
Cs (0.199, 0.199, 0.000)
Cs (0.500, 0.000, 0.500)
Cs (0.801, 0.801, 0.000)
Pd (0.000, 0.000, 0.000)
Ru (0.431, 0.431, 0.000)
Ru (0.569, 0.569, 0.000)

Computed properties:
Energy relative to the elements in meV per atom: 1113.2
Space group: I4/mmm

VASP calculation (GGA-PBE) on CsPd2Ru after structural relaxation.

a b c (Å): 4.906 4.906 4.906
angles (deg): 60.00 60.00 60.00
Fractional positions:
Cs (0.000, 0.000, 0.000)
Pd (0.250, 0.250, 0.250)
Pd (0.750, 0.750, 0.750)
Ru (0.500, 0.500, 0.500)

Computed properties:
Energy relative to the elements in meV per atom: 1100.1
Space group: Fm-3m

VASP calculation (GGA-PBE) on Cs2PdRu after structural relaxation.

a b c (Å): 5.743 5.743 5.743
angles (deg): 60.00 60.00 60.00
Fractional positions:
Cs (0.250, 0.250, 0.250)
Cs (0.750, 0.750, 0.750)
Pd (0.000, 0.000, 0.000)
Ru (0.500, 0.500, 0.500)

Computed properties:
Energy relative to the elements in meV per atom: 1379.1
Space group: Fm-3m

VASP calculation (GGA-PBE) on Cs2ZrPdRu after structural relaxation.

a b c (Å): 6.100 6.100 5.182
angles (deg): 90.00 90.00 90.00
Fractional positions:
Cs (0.000, 0.500, 0.000)
Cs (0.500, 0.000, 0.000)
Zr (0.000, 0.000, 0.500)
Pd (0.500, 0.500, 0.000)
Ru (0.500, 0.500, 0.500)

Computed properties:
Energy relative to the elements in meV per atom: 1700.7
Space group: P4/mmm